Entry 1:
An optimized crystal structure of BaMgBiF. Source: Alexandria, functional PBE.

Energy in eV per formula unit: -16.7
Raw formation energy in eV per atom: -1.86

POSCAR file:
```
BaMgBiF
1.0
4.6957 0.0000 0.0000
0.0000 4.6957 0.0000
0.0000 0.0000 10.0899
Ba Mg Bi F
2 2 2 2
Direct
0.2500 0.2500 0.1372
0.7500 0.7500 0.8628
0.2500 0.7500 0.5000
0.7500 0.2500 0.5000
0.2500 0.2500 0.6821
0.7500 0.7500 0.3179
0.2500 0.7500 0.0000
0.7500 0.2500 0.0000
```

***

Entry 2:
An optimized crystal structure of Sc2TlBMo. Source: Alexandria, functional PBE.

Energy in eV per formula unit: -33.3
E_form in meV per atom: -162.3
E above lowest polymorph in meV per atom: 0

POSCAR file:
```
Sc2TlBMo
1.0
4.6546 0.0000 0.0000
0.0000 4.6546 0.0000
0.0000 0.0000 4.2803
Sc Tl B Mo
2 1 1 1
Direct
0.0000 0.5000 0.0000
0.5000 0.0000 0.0000
0.0000 0.0000 0.5000
0.5000 0.5000 0.0000
0.5000 0.5000 0.5000
```

***

Entry 3:
An optimized crystal structure of Pm2Pr7Y3. Source: Alexandria, functional PBE.

Energy in eV per formula unit: -61.4
E_form in meV per atom: 82.6
E above lowest polymorph in meV per atom: 0

POSCAR file:
```
Pm2Pr7Y3
1.0
5.9850 0.0000 0.0000
0.0000 3.6747 0.0000
-1.2195 0.0000 19.2440
Pm Pr Y
2 7 3
Direct
0.2060 0.0000 0.2979
0.7940 0.0000 0.7021
0.1752 0.5000 0.1450
0.2420 0.0000 0.4647
0.3226 0.0000 0.8186
0.5000 0.5000 0.0000
0.6774 0.0000 0.1814
0.7580 0.0000 0.5353
0.8248 0.5000 0.8550
0.0000 0.0000 0.0000
0.2826 0.5000 0.6324
0.7174 0.5000 0.3676
```